(1)
This record from Alexandria via LeMat-Bulk describes a relaxed structure of PmCrNi4. The functional is PBE.

The structure in CIF format:
```
data_PmCrNi4
_cell_length_a 7.012
_cell_length_b 7.012
_cell_length_c 7.012
_cell_angle_alpha 90.00
_cell_angle_beta 90.00
_cell_angle_gamma 90.00
_space_group_name_H-M_alt 'F -4 3 m'
_space_group_IT_number 216
_space_group_name_Hall 'F -4 2 3'
loop_
_atom_site_label
_atom_site_type_symbol
_atom_site_fract_x
_atom_site_fract_y
_atom_site_fract_z
Pm1 Pm 0.000 0.000 0.000
Cr1 Cr 0.250 0.250 0.750
Ni1 Ni 0.124 0.124 0.376
```

Computed properties:
Crystal system: cubic
E in eV/atom: -6.354

(2)
This record from Alexandria via LeMat-Bulk describes a relaxed structure of PmCrNiS3. The functional is PBE.

The structure in CIF format:
```
data_PmCrNiS3
_cell_length_a 7.079
_cell_length_b 3.704
_cell_length_c 8.236
_cell_angle_alpha 90.00
_cell_angle_beta 104.49
_cell_angle_gamma 90.00
_space_group_name_H-M_alt 'P 1 21/m 1'
_space_group_IT_number 11
_space_group_name_Hall '-P 2yb'
loop_
_atom_site_label
_atom_site_type_symbol
_atom_site_fract_x
_atom_site_fract_y
_atom_site_fract_z
Pm1 Pm 0.203 0.250 0.263
Cr1 Cr 0.326 0.750 0.836
Ni1 Ni 0.094 0.250 0.594
S1 S 0.105 0.250 0.870
S2 S 0.249 0.750 0.536
S3 S 0.442 0.750 0.141
```

Computed properties:
Crystal system: monoclinic
Energy relative to the elements, uncorrected in kcal/mol of atoms: -24.805
E in eV/atom: -6.499

(3)
This record from Alexandria via LeMat-Bulk describes a relaxed structure of Pr2CrNi3Pt12. The functional is PBE.

The structure in CIF format:
```
data_Pr2CrNi3Pt12
_cell_length_a 6.7790
_cell_length_b 6.7790
_cell_length_c 25.3921
_cell_angle_alpha 90.00
_cell_angle_beta 90.00
_cell_angle_gamma 120.00
_space_group_name_H-M_alt 'R -3 m'
_space_group_IT_number 166
_space_group_name_Hall '-R 3 2"'
loop_
_atom_site_label
_atom_site_type_symbol
_atom_site_fract_x
_atom_site_fract_y
_atom_site_fract_z
Pr1 Pr 0.0000 0.0000 0.1553
Cr1 Cr 0.0000 0.0000 0.5000
Ni1 Ni 0.0000 0.5000 0.0000
Pt1 Pt 0.0503 0.5252 0.0986
Pt2 Pt 0.0642 0.5321 0.6195
```

Computed properties:
Crystal system: trigonal
E in eV/atom: -6.157

(4)
This record from Alexandria via LeMat-Bulk describes a relaxed structure of Pr2Zn3CrNi12. The functional is PBE.

The structure in CIF format:
```
data_Pr2Zn3CrNi12
_cell_length_a 6.0759
_cell_length_b 6.0759
_cell_length_c 25.5233
_cell_angle_alpha 90.00
_cell_angle_beta 90.00
_cell_angle_gamma 120.00
_space_group_name_H-M_alt 'R -3 m'
_space_group_IT_number 166
_space_group_name_Hall '-R 3 2"'
loop_
_atom_site_label
_atom_site_type_symbol
_atom_site_fract_x
_atom_site_fract_y
_atom_site_fract_z
Pr1 Pr 0.0000 0.0000 0.1542
Zn1 Zn 0.0000 0.5000 0.0000
Cr1 Cr 0.0000 0.0000 0.5000
Ni1 Ni 0.0566 0.5283 0.0969
Ni2 Ni 0.0724 0.5362 0.6152
```

Computed properties:
Crystal system: trigonal
E in eV/atom: -4.986

(5)
This record from Alexandria via LeMat-Bulk describes a relaxed structure of CrNi5Pt4. The functional is PBE.

The structure in CIF format:
```
data_CrNi5Pt4
_cell_length_a 12.830
_cell_length_b 2.665
_cell_length_c 8.338
_cell_angle_alpha 90.00
_cell_angle_beta 109.62
_cell_angle_gamma 90.00
_space_group_name_H-M_alt 'C 1 2/m 1'
_space_group_IT_number 12
_space_group_name_Hall '-C 2y'
loop_
_atom_site_label
_atom_site_type_symbol
_atom_site_fract_x
_atom_site_fract_y
_atom_site_fract_z
Cr1 Cr 0.000 0.000 0.000
Ni1 Ni 0.000 0.000 0.500
Ni2 Ni 0.180 0.500 0.080
Ni3 Ni 0.224 0.500 0.623
Pt1 Pt 0.088 0.500 0.304
Pt2 Pt 0.117 0.000 0.801
```

Computed properties:
Crystal system: monoclinic
E in eV/atom: -6.230

(6)
This record from Alexandria via LeMat-Bulk describes a relaxed structure of CrNi6Pt. The functional is PBE.

The structure in CIF format:
```
data_CrNi6Pt
_cell_length_a 7.183
_cell_length_b 10.192
_cell_length_c 10.219
_cell_angle_alpha 90.00
_cell_angle_beta 90.00
_cell_angle_gamma 90.00
_space_group_name_H-M_alt 'C m m m'
_space_group_IT_number 65
_space_group_name_Hall '-C 2 2'
loop_
_atom_site_label
_atom_site_type_symbol
_atom_site_fract_x
_atom_site_fract_y
_atom_site_fract_z
Cr1 Cr 0.000 0.000 0.248
Cr2 Cr 0.000 0.248 0.000
Ni1 Ni 0.000 0.000 0.000
Ni2 Ni 0.000 0.000 0.500
Ni3 Ni 0.000 0.246 0.242
Ni4 Ni 0.000 0.500 0.000
Ni5 Ni 0.000 0.500 0.500
Ni6 Ni 0.245 0.124 0.371
Ni7 Ni 0.246 0.127 0.121
Pt1 Pt 0.000 0.250 0.500
Pt2 Pt 0.000 0.500 0.249
```

Computed properties:
Crystal system: orthorhombic
E in eV/atom: -6.313

(7)
This record from Alexandria via LeMat-Bulk describes a relaxed structure of CrNiPt3. The functional is PBE.

The structure in CIF format:
```
data_CrNiPt3
_cell_length_a 3.870
_cell_length_b 18.960
_cell_length_c 3.861
_cell_angle_alpha 90.00
_cell_angle_beta 90.00
_cell_angle_gamma 90.00
_space_group_name_H-M_alt 'C m c m'
_space_group_IT_number 63
_space_group_name_Hall '-C 2c 2'
loop_
_atom_site_label
_atom_site_type_symbol
_atom_site_fract_x
_atom_site_fract_y
_atom_site_fract_z
Cr1 Cr 0.000 0.152 0.250
Ni1 Ni 0.000 0.348 0.250
Pt1 Pt 0.000 0.058 0.750
Pt2 Pt 0.000 0.250 0.750
Pt3 Pt 0.000 0.444 0.750
```

Computed properties:
Crystal system: orthorhombic
E in eV/atom: -6.922

(8)
This record from Alexandria via LeMat-Bulk describes a relaxed structure of CrNi2Pt5. The functional is PBE.

The structure in CIF format:
```
data_CrNi2Pt5
_cell_length_a 6.521
_cell_length_b 6.521
_cell_length_c 10.910
_cell_angle_alpha 90.00
_cell_angle_beta 90.00
_cell_angle_gamma 90.00
_space_group_name_H-M_alt 'I 4/m c m'
_space_group_IT_number 140
_space_group_name_Hall '-I 4 2c'
loop_
_atom_site_label
_atom_site_type_symbol
_atom_site_fract_x
_atom_site_fract_y
_atom_site_fract_z
Cr1 Cr 0.000 0.000 0.250
Ni1 Ni 0.136 0.364 0.000
Pt1 Pt 0.000 0.000 0.000
Pt2 Pt 0.155 0.345 0.342
```

Computed properties:
Crystal system: tetragonal
E in eV/atom: -6.443

(9)
This record from Alexandria via LeMat-Bulk describes a relaxed structure of CrNi7Pt2. The functional is PBE.

The structure in CIF format:
```
data_CrNi7Pt2
_cell_length_a 2.611
_cell_length_b 6.755
_cell_length_c 14.613
_cell_angle_alpha 90.00
_cell_angle_beta 90.00
_cell_angle_gamma 90.00
_space_group_name_H-M_alt 'I m m m'
_space_group_IT_number 71
_space_group_name_Hall '-I 2 2'
loop_
_atom_site_label
_atom_site_type_symbol
_atom_site_fract_x
_atom_site_fract_y
_atom_site_fract_z
Cr1 Cr 0.000 0.000 0.000
Ni1 Ni 0.000 0.000 0.171
Ni2 Ni 0.000 0.257 0.415
Ni3 Ni 0.000 0.500 0.000
Pt1 Pt 0.000 0.500 0.182
```

Computed properties:
Crystal system: orthorhombic
E in eV/atom: -6.066

(10)
This record from Alexandria via LeMat-Bulk describes a relaxed structure of Cr4Ni12Pt. The functional is PBE.

The structure in CIF format:
```
data_Cr4Ni12Pt
_cell_length_a 7.525
_cell_length_b 7.525
_cell_length_c 7.525
_cell_angle_alpha 90.00
_cell_angle_beta 90.00
_cell_angle_gamma 90.00
_space_group_name_H-M_alt 'I m -3 m'
_space_group_IT_number 229
_space_group_name_Hall '-I 4 2 3'
loop_
_atom_site_label
_atom_site_type_symbol
_atom_site_fract_x
_atom_site_fract_y
_atom_site_fract_z
Cr1 Cr 0.250 0.250 0.250
Ni1 Ni 0.000 0.000 0.312
Ni2 Ni 0.000 0.250 0.500
Pt1 Pt 0.000 0.000 0.000
```

Computed properties:
Crystal system: cubic
E in eV/atom: -6.459

(11)
This record from Alexandria via LeMat-Bulk describes a relaxed structure of CrNiPt2. The functional is PBE.

The structure in CIF format:
```
data_CrNiPt2
_cell_length_a 6.124
_cell_length_b 6.124
_cell_length_c 6.124
_cell_angle_alpha 90.00
_cell_angle_beta 90.00
_cell_angle_gamma 90.00
_space_group_name_H-M_alt 'F -4 3 m'
_space_group_IT_number 216
_space_group_name_Hall 'F -4 2 3'
loop_
_atom_site_label
_atom_site_type_symbol
_atom_site_fract_x
_atom_site_fract_y
_atom_site_fract_z
Cr1 Cr 0.000 0.000 0.000
Ni1 Ni 0.250 0.250 0.250
Pt1 Pt 0.000 0.000 0.500
Pt2 Pt 0.250 0.250 0.750
```

Computed properties:
Crystal system: cubic
E in eV/atom: -6.848

(12)
This record from Alexandria via LeMat-Bulk describes a relaxed structure of CrNi3Pt4. The functional is PBE.

The structure in CIF format:
```
data_CrNi3Pt4
_cell_length_a 3.838
_cell_length_b 3.838
_cell_length_c 14.782
_cell_angle_alpha 90.00
_cell_angle_beta 90.00
_cell_angle_gamma 90.00
_space_group_name_H-M_alt 'I 4/m m m'
_space_group_IT_number 139
_space_group_name_Hall '-I 4 2'
loop_
_atom_site_label
_atom_site_type_symbol
_atom_site_fract_x
_atom_site_fract_y
_atom_site_fract_z
Cr1 Cr 0.000 0.000 0.000
Ni1 Ni 0.000 0.000 0.252
Ni2 Ni 0.000 0.000 0.500
Pt1 Pt 0.000 0.500 0.124
```

Computed properties:
Crystal system: tetragonal
E in eV/atom: -6.561